Here is crystalline Mg2InPt at its relaxed geometry from Alexandria. Energies are from PBEsol.

Properties
The value obtained for the size of the total moment is 0.0 μB/cell. Its total energy is -3.83 eV per atom. The density of states at the Fermi level comes out at 1.2 states/eV/cell.

Cell: 3.0678 3.2145 7.5966 Å, 90.00 90.00 90.00°
Last column: nearest neighbours and their distance in Å.
Space group Pmmm (No. 47)
Inequivalent atoms, fractional coordinates:
Mg  0.0000  0.0000  0.2055 [2 per cell]  4 Pt 2.72
In  0.5000  0.5000  0.5000 [1 per cell]  4 In 3.07-3.21, 8 Mg 3.15
Pt  0.5000  0.5000  0.0000 [1 per cell]  8 Mg 2.72